No. 1
A plane-wave DFT calculation with SCAN was carried out for a PBEsol-optimized structure of SrAl3.

Computed properties:
ΔE_f, meV per atom: -194
V, Å³/atom: 22.75
ρ, g/cm3: 3.1

Cell lengths 4.430, 5.970, 6.881 Å; angles 90.00, 90.00, 90.00 degrees
Space group Pmmn (No. 59, origin choice 2)
Asymmetric unit:
Sr  0.250  0.250  0.085
Al  0.250  0.507  0.624
Al  0.250  0.750  0.285



No. 2
A plane-wave DFT calculation with SCAN was carried out for a PBEsol-optimized structure of SrAl3.

Computed properties:
ΔE_f, meV per atom: 181
V, Å³/atom: 22.06
ρ, g/cm3: 3.2

Cell lengths 2.954, 10.390, 5.749 Å; angles 90.00, 90.00, 90.00 degrees
Space group Imm2 (No. 44)
Asymmetric unit:
Sr  0.000  0.000  0.000
Al  0.000  0.227  0.380
Al  0.000  0.500  0.008



No. 3
A plane-wave DFT calculation with SCAN was carried out for a PBEsol-optimized structure of Sr8Al.

Computed properties:
ΔE_f, meV per atom: 50
V, Å³/atom: 47.41
ρ, g/cm3: 2.8

Cell lengths 12.213, 12.213, 5.721 Å; angles 90.00, 90.00, 90.00 degrees
Space group I4/mmm (No. 139)
Asymmetric unit:
Sr  0.000  0.320  0.000
Sr  0.154  0.154  0.500
Al  0.000  0.000  0.000



No. 4
A plane-wave DFT calculation with SCAN was carried out for a PBEsol-optimized structure of SrAl.

Computed properties:
ΔE_f, meV per atom: 192
V, Å³/atom: 31.92
ρ, g/cm3: 3.0

Cell lengths 3.8055, 3.8055, 15.2725 Å; angles 90.00, 90.00, 120.00 degrees
Space group R-3m (No. 166, hexagonal axes)
Asymmetric unit:
Sr  0.0000  0.0000  0.0000
Al  0.0000  0.0000  0.5000



No. 5
A plane-wave DFT calculation with SCAN was carried out for a PBEsol-optimized structure of Sr2Al3.

Computed properties:
ΔE_f, meV per atom: -58
V, Å³/atom: 29.89
ρ, g/cm3: 2.8
ΔE to the lowest computed polymorph, eV per atom: 0.1561

Cell lengths 4.5607, 4.5607, 24.8911 Å; angles 90.00, 90.00, 120.00 degrees
Space group R-3m (No. 166, hexagonal axes)
Asymmetric unit:
Sr  0.0000  0.0000  0.0866
Al  0.0000  0.0000  0.3396
Al  0.0000  0.0000  0.5000



No. 6
A plane-wave DFT calculation with SCAN was carried out for a PBEsol-optimized structure of SrAl.

Computed properties:
ΔE_f, meV per atom: -124
V, Å³/atom: 29.05
ρ, g/cm3: 3.3

Cell lengths 3.820, 5.477, 11.108 Å; angles 90.00, 90.00, 90.00 degrees
Space group Imma (No. 74)
Asymmetric unit:
Sr  0.000  0.250  0.100
Al  0.000  0.250  0.666